Compound: CeHoBr2
Source: Alexandria
Functional: PBE-GGA
Structure: optimized geometry

The calculation puts the formation energy (no corrections) at -0.94 eV per atom. The calculation puts the calculated density at 6.686 g/cm³. The uncorrected energy is -4.400 eV/atom. The magnetization comes out at 1.915 Bohr magnetons per cell.

Cell lengths 3.597, 3.597, 10.511 Å; angles 80.15, 80.15, 60.00 degrees
Fractional coordinates of all 4 atoms:
Br: 0.099 0.099 0.702
Br: 0.901 0.901 0.298
Ho: 0.500 0.500 0.500
Ce: 0.000 0.000 0.000



Compound: CeHoBr6
Source: Alexandria
Functional: PBE-GGA
Structure: optimized geometry

The calculation puts the formation energy (no corrections) at -1.81 eV per atom. The value obtained for the offset from the most stable computed form is 0.0 meV per atom. The calculation puts the calculated density at 4.078 g/cm³. The uncorrected energy is -4.376 eV/atom. The magnetization comes out at 1.000 Bohr magnetons per cell.

Cell lengths 7.490, 7.490, 7.108 Å; angles 97.81, 97.81, 123.28 degrees
Fractional coordinates of all 8 atoms:
Ce: 0.000 0.000 0.000
Ho: 0.500 0.500 0.500
Br: 0.591 0.884 0.741
Br: 0.884 0.591 0.741
Br: 0.116 0.409 0.259
Br: 0.409 0.116 0.259
Br: 0.252 0.252 0.741
Br: 0.748 0.748 0.259



Compound: CeHoBrN2
Source: Alexandria
Functional: PBE-GGA
Structure: optimized geometry

The calculation puts the formation energy (no corrections) at -1.65 eV per atom. The calculation puts the calculated density at 6.211 g/cm³. The uncorrected energy is -7.421 eV/atom. The magnetization comes out at 0.000 Bohr magnetons per cell.

Cell lengths 4.175, 7.125, 7.924 Å; angles 110.49, 90.00, 90.00 degrees
Fractional coordinates of all 10 atoms:
Ce: 0.250 0.649 0.917
Ce: 0.750 0.351 0.083
Ho: 0.250 0.643 0.425
Ho: 0.750 0.357 0.575
Br: 0.250 0.021 0.748
Br: 0.750 0.979 0.252
N: 0.750 0.509 0.372
N: 0.250 0.491 0.628
N: 0.750 0.517 0.886
N: 0.250 0.483 0.114



Compound: Ce2IBr5
Source: Alexandria
Functional: PBE-GGA
Structure: optimized geometry

The calculation puts the formation energy (no corrections) at -1.59 eV per atom. The calculation puts the calculated density at 5.164 g/cm³. The uncorrected energy is -4.310 eV/atom. The magnetization comes out at 2.000 Bohr magnetons per cell.

Cell lengths 4.927, 7.772, 7.772 Å; angles 71.17, 71.52, 71.52 degrees
Fractional coordinates of all 8 atoms:
Ce: 0.754 0.746 0.746
Ce: 0.246 0.254 0.254
I: 0.000 0.000 0.000
Br: 0.000 0.500 0.500
Br: 0.664 0.522 0.149
Br: 0.336 0.478 0.851
Br: 0.336 0.851 0.478
Br: 0.664 0.149 0.522



Compound: CeIBr
Source: Alexandria
Functional: PBE-GGA
Structure: optimized geometry

The calculation puts the formation energy (no corrections) at -1.21 eV per atom. The value obtained for the offset from the most stable computed form is 210.3 meV per atom. The calculation puts the calculated density at 5.880 g/cm³. The uncorrected energy is -4.265 eV/atom. The magnetization comes out at 1.724 Bohr magnetons per cell.

Cell lengths 4.091, 5.259, 5.259 Å; angles 120.00, 90.00, 90.00 degrees
Fractional coordinates of all 3 atoms:
I: 0.667 0.667 0.333
Br: 0.167 0.333 0.667
Ce: 0.166 0.000 0.000



Compound: Ce2I5Br
Source: Alexandria
Functional: PBE-GGA
Structure: optimized geometry

The calculation puts the formation energy (no corrections) at -1.13 eV per atom. The calculation puts the calculated density at 5.148 g/cm³. The uncorrected energy is -3.789 eV/atom. The magnetization comes out at 2.000 Bohr magnetons per cell.

Cell lengths 5.316, 8.325, 8.325 Å; angles 71.27, 71.38, 71.38 degrees
Fractional coordinates of all 8 atoms:
Ce: 0.753 0.747 0.747
Ce: 0.247 0.253 0.253
I: 0.000 0.500 0.500
I: 0.664 0.524 0.149
I: 0.336 0.476 0.851
I: 0.336 0.851 0.476
I: 0.664 0.149 0.524
Br: 0.000 0.000 0.000



Compound: CeIBr3
Source: Alexandria
Functional: PBE-GGA
Structure: optimized geometry

The calculation puts the formation energy (no corrections) at -1.42 eV per atom. The value obtained for the offset from the most stable computed form is 0.0 meV per atom. The calculation puts the calculated density at 3.833 g/cm³. The uncorrected energy is -3.923 eV/atom. The magnetization comes out at 0.206 Bohr magnetons per cell.

Cell lengths 4.376, 9.891, 10.144 Å; angles 90.00, 90.00, 90.00 degrees
Fractional coordinates of all 10 atoms:
Ce: 0.500 0.228 0.750
Ce: 0.500 0.772 0.250
I: 0.500 0.524 0.750
I: 0.500 0.476 0.250
Br: 0.000 0.231 0.937
Br: 0.000 0.769 0.063
Br: 0.000 0.231 0.563
Br: 0.000 0.769 0.437
Br: 0.500 0.957 0.750
Br: 0.500 0.043 0.250



Compound: Ce3I7Br
Source: Alexandria
Functional: PBE-GGA
Structure: optimized geometry

The calculation puts the formation energy (no corrections) at -1.37 eV per atom. The calculation puts the calculated density at 4.246 g/cm³. The uncorrected energy is -4.123 eV/atom. The magnetization comes out at 4.003 Bohr magnetons per cell.

Cell lengths 7.475, 9.159, 9.159 Å; angles 120.00, 90.00, 90.00 degrees
Fractional coordinates of all 11 atoms:
Ce: 0.778 0.499 0.501
Ce: 0.778 0.499 0.997
Ce: 0.778 0.003 0.501
I: 0.020 0.170 0.830
I: 0.020 0.170 0.341
I: 0.029 0.667 0.333
I: 0.541 0.830 0.170
I: 0.541 0.340 0.170
I: 0.541 0.830 0.660
I: 0.020 0.659 0.830
Br: 0.568 0.333 0.667



Compound: CeIBr
Source: Alexandria
Functional: PBE-GGA
Structure: optimized geometry

The calculation puts the formation energy (no corrections) at -1.22 eV per atom. The value obtained for the offset from the most stable computed form is 207.4 meV per atom. The calculation puts the calculated density at 5.135 g/cm³. The uncorrected energy is -4.268 eV/atom. The magnetization comes out at 7.944 Bohr magnetons per cell.

Cell lengths 7.626, 7.626, 9.519 Å; angles 115.15, 115.15, 86.50 degrees
Fractional coordinates of all 12 atoms:
Br: 0.652 0.652 0.304
Br: 0.348 0.348 0.696
Br: 0.598 0.098 0.196
Br: 0.902 0.402 0.804
Ce: 0.926 0.426 0.500
Ce: 0.676 0.676 0.000
Ce: 0.574 0.074 0.500
Ce: 0.324 0.324 0.000
I: 0.125 0.375 0.250
I: 0.125 0.875 0.750
I: 0.125 0.875 0.250
I: 0.625 0.875 0.750



Compound: Ce2I4Br
Source: Alexandria
Functional: PBE-GGA
Structure: optimized geometry

The calculation puts the formation energy (no corrections) at -1.27 eV per atom. The calculation puts the calculated density at 4.916 g/cm³. The uncorrected energy is -4.091 eV/atom. The magnetization comes out at 3.019 Bohr magnetons per cell.

Cell lengths 5.676, 5.676, 11.004 Å; angles 75.05, 75.05, 60.00 degrees
Fractional coordinates of all 7 atoms:
I: 0.702 0.702 0.893
I: 0.901 0.901 0.297
I: 0.298 0.298 0.107
I: 0.099 0.099 0.703
Br: 0.500 0.500 0.500
Ce: 0.594 0.594 0.219
Ce: 0.406 0.406 0.781



Compound: CeIBr
Source: Alexandria
Functional: PBE-GGA
Structure: optimized geometry

The calculation puts the formation energy (no corrections) at -1.21 eV per atom. The value obtained for the offset from the most stable computed form is 216.2 meV per atom. The calculation puts the calculated density at 5.264 g/cm³. The uncorrected energy is -4.259 eV/atom. The magnetization comes out at 2.005 Bohr magnetons per cell.

Cell lengths 5.369, 5.369, 5.369 Å; angles 60.00, 60.00, 60.00 degrees
Fractional coordinates of all 3 atoms:
I: 0.000 0.000 0.000
Br: 0.500 0.500 0.500
Ce: 0.250 0.250 0.250



Compound: Ce2I2Br3
Source: Alexandria
Functional: PBE-GGA
Structure: optimized geometry

The calculation puts the formation energy (no corrections) at -1.37 eV per atom. The value obtained for the offset from the most stable computed form is 183.4 meV per atom. The calculation puts the calculated density at 4.112 g/cm³. The uncorrected energy is -4.225 eV/atom. The magnetization comes out at 2.413 Bohr magnetons per cell.

Cell lengths 4.613, 4.589, 14.948 Å; angles 90.00, 99.06, 90.00 degrees
Fractional coordinates of all 7 atoms:
Ce: 0.105 0.000 0.202
Ce: 0.895 0.000 0.798
I: 0.404 0.500 0.817
I: 0.596 0.500 0.183
Br: 0.192 0.000 0.383
Br: 0.000 0.000 0.000
Br: 0.808 0.000 0.617